1.
CdHO, relaxed, DFT GGA-PBE; energy above the lowest structure with this stoichiometry = 0.000 eV/atom; uncorrected energy = -23.47 eV/cell; space-group type = No. 12
1.0
-0.727 1.227 -3.381
-2.719 -4.068 -0.891
-2.471 3.782 3.895
O H Cd
2 2 2
Direct
0.329 0.412 0.658
0.671 0.588 0.342
0.363 0.262 0.727
0.637 0.738 0.273
0.106 0.262 0.212
0.894 0.738 0.788

2.
CdHO2, relaxed, DFT GGA-PBE; energy above the lowest structure with this stoichiometry = 0.184 eV/atom; uncorrected energy = -32.38 eV/cell; space-group type = No. 65
1.0
-1.632 1.738 -2.419
-4.151 -2.142 1.261
-0.973 3.940 3.488
O H Cd
4 2 2
Direct
0.500 0.250 0.977
0.500 0.750 0.477
0.500 0.750 0.023
0.500 0.250 0.523
0.500 0.750 0.250
0.500 0.250 0.750
0.000 0.750 0.750
0.000 0.250 0.250

3.
CdH2O2, relaxed, DFT GGA-PBE; energy above the lowest structure with this stoichiometry = 1.049 eV/atom; uncorrected energy = -17.59 eV/cell; space-group type = No. 166
1.0
-2.421 1.088 -0.917
-0.567 0.046 -2.750
-4.002 -5.875 -0.707
H O Cd
2 2 1
Direct
0.240 0.240 0.281
0.760 0.760 0.719
0.585 0.585 0.246
0.415 0.415 0.754
0.000 0.000 0.000

The lowest energy above the lowest structure with this stoichiometry belongs to which entry?
CdHO

The lowest energy above the lowest structure with this stoichiometry belongs to which entry?
CdHO

What did the first record say?
CdHO, relaxed, DFT GGA-PBE; energy above the lowest structure with this stoichiometry = 0.000 eV/atom; uncorrected energy = -23.47 eV/cell; space-group type = No. 12
1.0
-0.727 1.227 -3.381
-2.719 -4.068 -0.891
-2.471 3.782 3.895
O H Cd
2 2 2
Direct
0.329 0.412 0.658
0.671 0.588 0.342
0.363 0.262 0.727
0.637 0.738 0.273
0.106 0.262 0.212
0.894 0.738 0.788

The lowest energy above the lowest structure with this stoichiometry belongs to which entry?
CdHO